No. 1
CaBeBr | the Alexandria database | SCAN | single point on PBEsol structure; energy above the most stable polymorph in this dataset = 0 meV/atom; volume = 75.6 Å³/f.u.; E_form (uncorrected) = -0.236 eV per atom; space-group type = I4mm, No. 107
1.0
-1.776 1.776 5.995
1.776 -1.776 5.995
1.776 1.776 -5.995
Ca Be Br
1 1 1
direct
0.000 0.000 0.000
0.643 0.643 0.000
0.367 0.367 0.000


No. 2
SrZn2Co2 | the Alexandria database | SCAN | single point on PBEsol structure; energy above the most stable polymorph in this dataset = 55 meV/atom; volume = 84.0 Å³/f.u.; space-group type = I4/mmm, No. 139
1.0
-2.090 2.090 4.804
2.090 -2.090 4.804
2.090 2.090 -4.804
Sr Zn Co
1 2 2
direct
0.000 0.000 0.000
0.250 0.750 0.500
0.750 0.250 0.500
0.386 0.386 0.000
0.614 0.614 0.000


No. 3
Rb2ZrTa | the Alexandria database | SCAN | single point on PBEsol structure; volume = 124.1 Å³/f.u.; calculated total energy = -129.43 eV per cell; space-group type = Fm-3m, No. 225
1.0
0.000 3.959 3.959
3.959 0.000 3.959
3.959 3.959 0.000
Rb Zr Ta
2 1 1
direct
0.250 0.250 0.250
0.750 0.750 0.750
0.000 0.000 0.000
0.500 0.500 0.500


No. 4
Ca2MgTc | the Alexandria database | SCAN | single point on PBEsol structure; volume = 92.0 Å³/f.u.; calculated total energy = -56.99 eV per cell; space-group type = Cmmm, No. 65
1.0
3.326 -4.460 0.000
3.326 4.460 0.000
0.000 0.000 3.101
Ca Mg Tc
2 1 1
direct
0.000 0.500 0.000
0.500 0.000 0.000
0.000 0.000 0.500
0.500 0.500 0.500